(1)
Material: ScMnAs2
Method: DFT, GGA-PBE
State: relaxed

Density of states at the Fermi level   1.8 states/eV/f.u.
DFT formation energy   -42.7 kJ/mol of atoms
Total moment   3.61 μB per cell
Symmetry   No. 123

```
data_ScMnAs2
_cell_length_a 4.8876
_cell_length_b 4.8876
_cell_length_c 2.9429
_cell_angle_alpha 90.00
_cell_angle_beta 90.00
_cell_angle_gamma 90.00
_space_group_name_H-M_alt 'P 1'
_space_group_IT_number 1
loop_
_space_group_symop_operation_xyz
'x,y,z'
loop_
_atom_site_label
_atom_site_type_symbol
_atom_site_fract_x
_atom_site_fract_y
_atom_site_fract_z
Mn1 Mn 0.5000 0.0000 0.5000
Sc1 Sc 0.0000 0.5000 0.5000
As1 As 0.5000 0.5000 0.0000
As2 As 0.0000 0.0000 0.0000
```


(2)
Material: ScMn2As
Method: DFT, GGA-PBE
State: relaxed

Density of states at the Fermi level   4.4 states/eV/f.u.
DFT formation energy   -1.1 kJ/mol of atoms
Total moment   5.97 μB per cell
Symmetry   No. 12

```
data_ScMn2As
_cell_length_a 5.3386
_cell_length_b 5.3386
_cell_length_c 2.9836
_cell_angle_alpha 74.91
_cell_angle_beta 74.91
_cell_angle_gamma 118.15
_space_group_name_H-M_alt 'P 1'
_space_group_IT_number 1
loop_
_space_group_symop_operation_xyz
'x,y,z'
loop_
_atom_site_label
_atom_site_type_symbol
_atom_site_fract_x
_atom_site_fract_y
_atom_site_fract_z
Sc1 Sc 0.5000 0.0000 0.5000
Mn1 Mn 0.5000 0.5000 0.0000
Mn2 Mn 0.0000 0.0000 0.0000
As1 As 0.0000 0.5000 0.5000
```


(3)
Material: ScMnAs2
Method: DFT, GGA-PBE
State: relaxed

Density of states at the Fermi level   3.4 states/eV/f.u.
DFT formation energy   -3.4 kJ/mol of atoms
Total moment   3.03 μB per cell
Symmetry   No. 216

```
data_ScMnAs2
_cell_length_a 4.6431
_cell_length_b 4.6431
_cell_length_c 4.6431
_cell_angle_alpha 60.00
_cell_angle_beta 60.00
_cell_angle_gamma 60.00
_space_group_name_H-M_alt 'P 1'
_space_group_IT_number 1
loop_
_space_group_symop_operation_xyz
'x,y,z'
loop_
_atom_site_label
_atom_site_type_symbol
_atom_site_fract_x
_atom_site_fract_y
_atom_site_fract_z
Mn1 Mn 0.5000 0.5000 0.5000
As1 As 0.0000 0.0000 0.0000
As2 As 0.2500 0.2500 0.2500
Sc1 Sc 0.7500 0.7500 0.7500
```